Compound: Pr4Ge2I5
Source: the Alexandria database
Functional: PBE
Structure: optimized geometry Values from VASP.

Properties
* size of the total moment: 0.0 μB per formula unit
* SG: Immm
* formation energy without anion corrections: -1052 meV/atom

```
&SYSTEM
  ibrav = 0, nat = 11, ntyp = 3
/
ATOMIC_SPECIES
Pr 140.91 Pr.upf
Ge 72.64 Ge.upf
I 126.90 I.upf
ATOMIC_POSITIONS crystal
Pr 0.1900 0.1900 0.0000
Pr 0.2105 0.5000 0.7105
Pr 0.7895 0.5000 0.2895
Pr 0.8100 0.8100 0.0000
Ge 0.0572 0.0572 0.0000
Ge 0.9428 0.9428 0.0000
I 0.1046 0.3304 0.7741
I 0.4437 0.6696 0.7741
I 0.5000 0.0000 0.5000
I 0.5563 0.3304 0.2259
I 0.8954 0.6696 0.2259
CELL_PARAMETERS angstrom
-2.1870 4.4031 10.3272
2.1870 -4.4031 10.3272
2.1870 4.4031 -10.3272
```